Computed, not measured: a relaxed structure of FeBi3O at the PBE+U level of DFT.

abc: 5.1888 5.1888 5.1888
angles: 90.00 90.00 90.00
Space group Pm-3m (No. 221)
Unique sites:
Fe: 0.0000 0.0000 0.0000
Bi: 0.0000 0.0000 0.5000
O: 0.5000 0.5000 0.5000

Magnetization in μB per atom: 0.50
E above lowest polymorph in meV/atom: 573
Calculated total energy in Ha/atom: -0.128
Density of states at the Fermi level in states/eV per cell: 5.9